Entry 1:
Compound: Y3TaCl
Source: the Alexandria database
Functional: GGA-PBE
Structure: relaxed

Symmetry ... No. 221
Theoretical density ... 6.03 Mg/m³
Polymorph energy (0 for the lowest one) ... 0 meV per atom
Uncorrected formation energy ... 28 meV/atom
Magnetic moment ... 1.18 μB/f.u.
DFT total energy ... -32.95 eV/cell

Geometry as CIF:
```
data_Y3TaCl
_symmetry_space_group_name_H-M 'P 1'
_symmetry_Int_Tables_number 1
_cell_length_a 5.105
_cell_length_b 5.105
_cell_length_c 5.105
_cell_angle_alpha 90.00
_cell_angle_beta 90.00
_cell_angle_gamma 90.00
loop_
_symmetry_equiv_pos_as_xyz
'x,y,z'
loop_
_atom_site_label
_atom_site_type_symbol
_atom_site_fract_x
_atom_site_fract_y
_atom_site_fract_z
Y1 Y 0.000 0.000 0.500
Y2 Y 0.000 0.500 0.000
Y3 Y 0.500 0.000 0.000
Ta1 Ta 0.500 0.500 0.500
Cl1 Cl 0.000 0.000 0.000
```

Entry 2:
Compound: Y2TaCl
Source: the Alexandria database
Functional: GGA-PBE
Structure: relaxed

Symmetry ... No. 44
Theoretical density ... 6.84 Mg/m³
Polymorph energy (0 for the lowest one) ... 418 meV per atom
Uncorrected formation energy ... -26 meV/atom
Magnetic moment ... 0.00 μB/f.u.
DFT total energy ... -53.46 eV/cell

Geometry as CIF:
```
data_Y2TaCl
_symmetry_space_group_name_H-M 'P 1'
_symmetry_Int_Tables_number 1
_cell_length_a 3.164
_cell_length_b 5.440
_cell_length_c 11.126
_cell_angle_alpha 90.00
_cell_angle_beta 90.00
_cell_angle_gamma 90.00
loop_
_symmetry_equiv_pos_as_xyz
'x,y,z'
loop_
_atom_site_label
_atom_site_type_symbol
_atom_site_fract_x
_atom_site_fract_y
_atom_site_fract_z
Y1 Y 0.000 0.000 0.000
Y2 Y 0.000 0.500 0.196
Y3 Y 0.500 0.000 0.696
Y4 Y 0.500 0.500 0.500
Ta1 Ta 0.000 0.500 0.750
Ta2 Ta 0.500 0.000 0.250
Cl1 Cl 0.000 0.000 0.450
Cl2 Cl 0.500 0.500 0.950
```

Entry 3:
Compound: YTaCl4
Source: the Alexandria database
Functional: GGA-PBE
Structure: relaxed

Symmetry ... No. 216
Theoretical density ... 4.93 Mg/m³
Uncorrected formation energy ... 421 meV/atom
Magnetic moment ... 4.43 μB/f.u.
DFT total energy ... -23.18 eV/cell

Geometry as CIF:
```
data_YTaCl4
_symmetry_space_group_name_H-M 'P 1'
_symmetry_Int_Tables_number 1
_cell_length_a 5.808
_cell_length_b 5.808
_cell_length_c 5.808
_cell_angle_alpha 60.00
_cell_angle_beta 60.00
_cell_angle_gamma 60.00
loop_
_symmetry_equiv_pos_as_xyz
'x,y,z'
loop_
_atom_site_label
_atom_site_type_symbol
_atom_site_fract_x
_atom_site_fract_y
_atom_site_fract_z
Y1 Y 0.000 0.000 0.000
Ta1 Ta 0.250 0.250 0.250
Cl1 Cl 0.125 0.625 0.625
Cl2 Cl 0.625 0.125 0.625
Cl3 Cl 0.625 0.625 0.125
Cl4 Cl 0.625 0.625 0.625
```

Entry 4:
Compound: YTaCl2
Source: the Alexandria database
Functional: GGA-PBE
Structure: relaxed

Symmetry ... No. 8
Theoretical density ... 5.68 Mg/m³
Polymorph energy (0 for the lowest one) ... 532 meV per atom
Uncorrected formation energy ... -437 meV/atom
Magnetic moment ... 0.00 μB/f.u.
DFT total energy ... -47.51 eV/cell

Geometry as CIF:
```
data_YTaCl2
_symmetry_space_group_name_H-M 'P 1'
_symmetry_Int_Tables_number 1
_cell_length_a 10.215
_cell_length_b 3.209
_cell_length_c 6.868
_cell_angle_alpha 90.00
_cell_angle_beta 117.66
_cell_angle_gamma 90.00
loop_
_symmetry_equiv_pos_as_xyz
'x,y,z'
loop_
_atom_site_label
_atom_site_type_symbol
_atom_site_fract_x
_atom_site_fract_y
_atom_site_fract_z
Y1 Y 0.000 0.000 0.000
Y2 Y 0.500 0.500 0.000
Ta1 Ta 0.288 0.500 0.238
Ta2 Ta 0.788 0.000 0.238
Cl1 Cl 0.239 0.000 0.914
Cl2 Cl 0.397 0.000 0.561
Cl3 Cl 0.739 0.500 0.914
Cl4 Cl 0.897 0.500 0.561
```

Entry 5:
Compound: YTaCl2
Source: the Alexandria database
Functional: GGA-PBE
Structure: relaxed

Symmetry ... No. 166
Theoretical density ... 6.46 Mg/m³
Polymorph energy (0 for the lowest one) ... 689 meV per atom
Uncorrected formation energy ... -279 meV/atom
Magnetic moment ... 0.00 μB/f.u.
DFT total energy ... -69.38 eV/cell

Geometry as CIF:
```
data_YTaCl2
_symmetry_space_group_name_H-M 'P 1'
_symmetry_Int_Tables_number 1
_cell_length_a 3.203
_cell_length_b 3.203
_cell_length_c 29.595
_cell_angle_alpha 90.00
_cell_angle_beta 90.00
_cell_angle_gamma 120.00
loop_
_symmetry_equiv_pos_as_xyz
'x,y,z'
loop_
_atom_site_label
_atom_site_type_symbol
_atom_site_fract_x
_atom_site_fract_y
_atom_site_fract_z
Y1 Y 0.000 0.000 0.000
Y2 Y 0.333 0.667 0.667
Y3 Y 0.667 0.333 0.333
Ta1 Ta 0.000 0.000 0.500
Ta2 Ta 0.333 0.667 0.167
Ta3 Ta 0.667 0.333 0.833
Cl1 Cl 0.000 0.000 0.228
Cl2 Cl 0.000 0.000 0.772
Cl3 Cl 0.333 0.667 0.438
Cl4 Cl 0.333 0.667 0.895
Cl5 Cl 0.667 0.333 0.105
Cl6 Cl 0.667 0.333 0.562
```

Entry 6:
Compound: Y2TaCl
Source: the Alexandria database
Functional: GGA-PBE
Structure: relaxed

Symmetry ... No. 47
Theoretical density ... 6.42 Mg/m³
Polymorph energy (0 for the lowest one) ... 767 meV per atom
Uncorrected formation energy ... 322 meV/atom
Magnetic moment ... 0.00 μB/f.u.
DFT total energy ... -25.34 eV/cell

Geometry as CIF:
```
data_Y2TaCl
_symmetry_space_group_name_H-M 'P 1'
_symmetry_Int_Tables_number 1
_cell_length_a 3.234
_cell_length_b 4.954
_cell_length_c 6.361
_cell_angle_alpha 90.00
_cell_angle_beta 90.00
_cell_angle_gamma 90.00
loop_
_symmetry_equiv_pos_as_xyz
'x,y,z'
loop_
_atom_site_label
_atom_site_type_symbol
_atom_site_fract_x
_atom_site_fract_y
_atom_site_fract_z
Y1 Y 0.000 0.000 0.000
Y2 Y 0.500 0.000 0.500
Ta1 Ta 0.000 0.500 0.500
Cl1 Cl 0.500 0.500 0.000
```

Entry 7:
Compound: Y2TaCl
Source: the Alexandria database
Functional: GGA-PBE
Structure: relaxed

Symmetry ... No. 216
Theoretical density ... 6.64 Mg/m³
Polymorph energy (0 for the lowest one) ... 1080 meV per atom
Uncorrected formation energy ... 635 meV/atom
Magnetic moment ... 2.36 μB/f.u.
DFT total energy ... -96.34 eV/cell

Geometry as CIF:
```
data_Y2TaCl
_symmetry_space_group_name_H-M 'P 1'
_symmetry_Int_Tables_number 1
_cell_length_a 7.333
_cell_length_b 7.333
_cell_length_c 7.333
_cell_angle_alpha 90.00
_cell_angle_beta 90.00
_cell_angle_gamma 90.00
loop_
_symmetry_equiv_pos_as_xyz
'x,y,z'
loop_
_atom_site_label
_atom_site_type_symbol
_atom_site_fract_x
_atom_site_fract_y
_atom_site_fract_z
Y1 Y 0.000 0.000 0.000
Y2 Y 0.000 0.500 0.500
Y3 Y 0.250 0.250 0.250
Y4 Y 0.250 0.750 0.750
Y5 Y 0.500 0.000 0.500
Y6 Y 0.500 0.500 0.000
Y7 Y 0.750 0.250 0.750
Y8 Y 0.750 0.750 0.250
Ta1 Ta 0.000 0.000 0.500
Ta2 Ta 0.000 0.500 0.000
Ta3 Ta 0.500 0.000 0.000
Ta4 Ta 0.500 0.500 0.500
Cl1 Cl 0.250 0.250 0.750
Cl2 Cl 0.250 0.750 0.250
Cl3 Cl 0.750 0.250 0.250
Cl4 Cl 0.750 0.750 0.750
```

Entry 8:
Compound: YTaCl2
Source: the Alexandria database
Functional: GGA-PBE
Structure: relaxed

Symmetry ... No. 71
Theoretical density ... 6.68 Mg/m³
Polymorph energy (0 for the lowest one) ... 587 meV per atom
Uncorrected formation energy ... -381 meV/atom
Magnetic moment ... 0.00 μB/f.u.
DFT total energy ... -47.07 eV/cell

Geometry as CIF:
```
data_YTaCl2
_symmetry_space_group_name_H-M 'P 1'
_symmetry_Int_Tables_number 1
_cell_length_a 3.112
_cell_length_b 5.928
_cell_length_c 9.178
_cell_angle_alpha 90.00
_cell_angle_beta 90.00
_cell_angle_gamma 90.00
loop_
_symmetry_equiv_pos_as_xyz
'x,y,z'
loop_
_atom_site_label
_atom_site_type_symbol
_atom_site_fract_x
_atom_site_fract_y
_atom_site_fract_z
Y1 Y 0.000 0.000 0.000
Y2 Y 0.500 0.500 0.500
Ta1 Ta 0.000 0.000 0.500
Ta2 Ta 0.500 0.500 0.000
Cl1 Cl 0.000 0.500 0.223
Cl2 Cl 0.000 0.500 0.777
Cl3 Cl 0.500 0.000 0.277
Cl4 Cl 0.500 0.000 0.723
```

Q: DFT total energy of number 6 (Y2TaCl)?
A: -25.34 eV/cell

What did the second record say?
Compound: Y2TaCl
Source: the Alexandria database
Functional: GGA-PBE
Structure: relaxed

Symmetry ... No. 44
Theoretical density ... 6.84 Mg/m³
Polymorph energy (0 for the lowest one) ... 418 meV per atom
Uncorrected formation energy ... -26 meV/atom
Magnetic moment ... 0.00 μB/f.u.
DFT total energy ... -53.46 eV/cell

Geometry as CIF:
```
data_Y2TaCl
_symmetry_space_group_name_H-M 'P 1'
_symmetry_Int_Tables_number 1
_cell_length_a 3.164
_cell_length_b 5.440
_cell_length_c 11.126
_cell_angle_alpha 90.00
_cell_angle_beta 90.00
_cell_angle_gamma 90.00
loop_
_symmetry_equiv_pos_as_xyz
'x,y,z'
loop_
_atom_site_label
_atom_site_type_symbol
_atom_site_fract_x
_atom_site_fract_y
_atom_site_fract_z
Y1 Y 0.000 0.000 0.000
Y2 Y 0.000 0.500 0.196
Y3 Y 0.500 0.000 0.696
Y4 Y 0.500 0.500 0.500
Ta1 Ta 0.000 0.500 0.750
Ta2 Ta 0.500 0.000 0.250
Cl1 Cl 0.000 0.000 0.450
Cl2 Cl 0.500 0.500 0.950
```

Q: Look up the magnetic moment of the third one.
A: 4.43 μB/f.u.